An optimized crystal structure of GdDy2Bi, computed with PBE-GGA.

The structure in POSCAR format:
```
GdDy2Bi
1.0
4.104 0.000 0.000
0.000 4.104 0.000
0.000 0.000 7.187
Gd Bi Dy
1 1 2
Cartesian
2.052 2.052 3.593
2.052 2.052 0.000
0.000 0.000 5.520
0.000 0.000 1.667
```

Summary:
The value obtained for the total energy is -7.142 eV per atom. The value obtained for the density of states at the Fermi level is 5.120 states/eV/f.u. For the density, the calculation gives 9.5 g/cm³. The calculation puts the calculated volume at 121.0 Å³/cell. The energy of formation comes out at -0.3505 eV/atom. The space group is No. 123. The calculation puts the energy relative to the lowest polymorph listed for this composition at 14 meV/atom.


An optimized crystal structure of GdDy2Bi, computed with PBE-GGA.

The structure in POSCAR format:
```
GdDy2Bi
1.0
3.546 0.000 0.000
1.773 3.071 0.000
1.773 1.024 12.059
Gd Bi Dy
1 1 2
Cartesian
3.546 2.047 6.029
0.000 0.000 0.000
1.773 1.024 8.904
5.318 3.071 3.154
```

Summary:
The value obtained for the total energy is -6.765 eV per atom. The value obtained for the density of states at the Fermi level is 4.715 states/eV/f.u. For the density, the calculation gives 8.7 g/cm³. The calculation puts the calculated volume at 131.3 Å³/cell. The energy of formation comes out at 0.0265 eV/atom. The space group is No. 166. The calculation puts the energy relative to the lowest polymorph listed for this composition at 391 meV/atom.


An optimized crystal structure of GdDyBiI, computed with PBE-GGA.

The structure in POSCAR format:
```
GdDyBiI
1.0
-3.812 -3.746 -1.218
-0.157 -2.223 -5.008
1.438 -5.241 -0.718
I Gd Bi Dy
1 1 1 1
Cartesian
0.000 0.000 0.000
-1.898 -8.408 -5.208
-1.265 -5.605 -3.472
-0.633 -2.803 -1.736
```

Summary:
The value obtained for the total energy is -6.777 eV per atom. The value obtained for the density of states at the Fermi level is 4.907 states/eV/f.u. For the density, the calculation gives 9.3 g/cm³. The calculation puts the calculated volume at 116.5 Å³/cell. The energy relative to the elements, uncorrected is -0.748 eV per atom. The space group is No. 216.